(1)
Crystalline Pm2PrTh at its relaxed geometry, computed with PBE.

**E**: -5.396 eV/atom

Unit cell a=3.627 b=3.627 c=10.441 alpha=90.00 beta=90.00 gamma=90.00
Fractional positions:
Pr 0.500 0.500 0.500
Th 0.500 0.500 0.000
Pm 0.000 0.000 0.764
Pm 0.000 0.000 0.236



(2)
Crystalline PmPrTh at its relaxed geometry, computed with PBE.

**E**: -5.474 eV/atom

Unit cell a=4.975 b=4.975 c=8.728 alpha=90.00 beta=90.00 gamma=90.00
Fractional positions:
Pr 0.000 0.500 0.707
Pr 0.500 0.000 0.293
Th 0.500 0.500 0.000
Th 0.000 0.000 0.000
Pm 0.000 0.500 0.290
Pm 0.500 0.000 0.710



(3)
Crystalline Pm4Pr3Th2 at its relaxed geometry, computed with PBE.

**E**: -5.287 eV/atom

Unit cell a=7.199 b=8.644 c=13.751 alpha=89.66 beta=130.79 gamma=77.90
Fractional positions:
Pm 0.958 0.158 0.394
Pm 0.334 0.477 0.163
Pm 0.042 0.842 0.606
Pm 0.378 0.169 0.735
Pm 0.969 0.835 0.941
Pm 0.622 0.831 0.265
Pm 0.031 0.165 0.059
Pm 0.666 0.523 0.837
Pr 0.479 0.830 0.948
Pr 0.865 0.172 0.728
Pr 0.248 0.498 0.494
Pr 0.521 0.170 0.052
Pr 0.752 0.502 0.506
Pr 0.135 0.828 0.272
Th 0.831 0.473 0.160
Th 0.557 0.840 0.610
Th 0.169 0.527 0.840
Th 0.443 0.160 0.390



(4)
Crystalline Pm10PrTh4 at its relaxed geometry, computed with PBE.

**E**: -5.120 eV/atom

Unit cell a=10.887 b=8.824 c=8.824 alpha=67.63 beta=51.91 gamma=51.91
Fractional positions:
Pm 0.555 0.907 0.671
Pm 0.538 0.329 0.907
Pm 0.867 0.907 0.671
Pm 0.250 0.500 0.500
Pm 0.750 0.500 0.500
Pm 0.445 0.093 0.329
Pm 0.225 0.329 0.907
Pm 0.775 0.671 0.093
Pm 0.462 0.671 0.093
Pm 0.133 0.093 0.329
Th 0.335 0.724 0.606
Th 0.665 0.276 0.394
Th 0.941 0.394 0.724
Th 0.059 0.606 0.276
Pr 0.000 0.000 0.000



(5)
Crystalline Pm8PrTh2 at its relaxed geometry, computed with PBE.

**E**: -5.046 eV/atom

Unit cell a=6.077 b=7.635 c=9.473 alpha=111.33 beta=105.74 gamma=97.05
Fractional positions:
Pm 0.919 0.101 0.762
Pm 0.843 0.662 0.762
Pm 0.293 0.793 0.586
Pm 0.283 0.576 0.000
Pm 0.157 0.338 0.238
Pm 0.707 0.207 0.414
Pm 0.717 0.424 0.000
Pm 0.081 0.899 0.238
Pr 0.500 0.000 0.000
Th 0.692 0.692 0.384
Th 0.308 0.308 0.616



(6)
Crystalline Pm8Pr2Th3 at its relaxed geometry, computed with PBE.

**E**: -5.129 eV/atom

Unit cell a=10.542 b=11.038 c=9.938 alpha=123.73 beta=137.14 gamma=90.00
Fractional positions:
Pm 0.355 0.276 0.035
Pm 0.161 0.257 0.515
Pm 0.975 0.380 0.759
Pm 0.355 0.759 0.035
Pm 0.025 0.620 0.241
Pm 0.839 0.743 0.485
Pm 0.645 0.724 0.965
Pm 0.645 0.241 0.965
Th 0.000 0.761 0.000
Th 0.500 0.000 0.000
Th 0.000 0.239 0.000
Pr 0.580 0.807 0.614
Pr 0.420 0.193 0.386



(7)
Crystalline Pm2Pr3Th at its relaxed geometry, computed with PBE.

**E**: -5.169 eV/atom

Unit cell a=5.181 b=9.717 c=9.717 alpha=106.38 beta=105.46 gamma=105.46
Fractional positions:
Pm 0.750 0.254 0.746
Pm 0.750 0.917 0.083
Pm 0.250 0.746 0.254
Pm 0.250 0.083 0.917
Pr 0.493 0.824 0.661
Pr 0.500 0.500 0.000
Pr 0.507 0.176 0.339
Pr 0.007 0.339 0.176
Pr 0.000 0.000 0.500
Pr 0.993 0.661 0.824
Th 0.250 0.420 0.580
Th 0.750 0.580 0.420



(8)
Crystalline Pm5Pr6Th2 at its relaxed geometry, computed with PBE.

**E**: -5.057 eV/atom

Unit cell a=3.666 b=11.794 c=21.393 alpha=90.00 beta=90.00 gamma=90.00
Fractional positions:
Pm 0.500 0.815 0.084
Pm 0.500 0.437 0.707
Pm 0.500 0.000 0.500
Pm 0.500 0.063 0.207
Pm 0.500 0.685 0.584
Pm 0.500 0.500 0.000
Pm 0.500 0.315 0.416
Pm 0.500 0.563 0.293
Pm 0.500 0.185 0.916
Pm 0.500 0.937 0.793
Th 0.000 0.691 0.734
Th 0.000 0.191 0.766
Th 0.000 0.309 0.266
Th 0.000 0.809 0.234
Pr 0.000 0.085 0.062
Pr 0.000 0.585 0.438
Pr 0.500 0.682 0.875
Pr 0.000 0.431 0.854
Pr 0.000 0.931 0.646
Pr 0.000 0.069 0.354
Pr 0.500 0.818 0.375
Pr 0.000 0.415 0.562
Pr 0.500 0.182 0.625
Pr 0.000 0.915 0.938
Pr 0.500 0.318 0.125
Pr 0.000 0.569 0.146



| no. | size of the total moment (μB per cell) | DFT formation energy (eV/atom) |
| --- | --- | --- |
| 1 | 0.00 | 0.029 |
| 2 | 0.00 | 0.176 |
| 3 | 0.00 | 0.066 |
| 4 | 0.00 | 0.344 |
| 5 | 0.00 | 0.192 |
| 6 | 0.00 | 0.242 |
| 7 | 0.00 | 0.041 |
| 8 | 0.00 | 0.118 |